(1)
## Ba2LiIrS6 (PBE)

Data for a relaxed structure of Ba2LiIrS6.

Cell lengths 6.7975, 6.7975, 6.7975 Å; angles 120.08, 120.08, 89.87 degrees
Fractional positions:
1 S 0.2461 0.7539 0.0000
2 S 0.7539 0.7539 0.5078
3 S 0.7543 0.7543 0.0000
4 S 0.2457 0.2457 0.0000
5 S 0.2461 0.2461 0.4922
6 S 0.7539 0.2461 0.0000
7 Li 0.5000 0.5000 0.0000
8 Ir 0.0000 0.0000 0.0000
9 Ba 0.2500 0.7500 0.5000
10 Ba 0.7500 0.2500 0.5000

density = 4987 kg/m3
total magnetization = 0.20 μB/atom
DFT total energy = -48.25 eV/f.u.


(2)
## TbTmCl (PBE)

Data for a relaxed structure of TbTmCl.

Cell lengths 3.7445, 3.7445, 5.5240 Å; angles 90.00, 90.00, 90.00 degrees
Fractional positions:
1 Tm 0.0000 0.0000 0.0000
2 Tb 0.5000 0.5000 0.5000
3 Cl 0.5000 0.5000 0.0000

density = 7789 kg/m3
total magnetization = 0.04 μB/atom
DFT total energy = -12.91 eV/f.u.


(3)
## BaHg2Pb (PBE)

Data for a relaxed structure of BaHg2Pb.

Cell lengths 7.3032, 5.7822, 11.5115 Å; angles 90.00, 90.00, 90.00 degrees
Fractional positions:
1 Ba 0.2500 0.2500 0.1238
2 Ba 0.7500 0.7500 0.8762
3 Ba 0.2500 0.2500 0.6238
4 Ba 0.7500 0.7500 0.3762
5 Pb 0.2500 0.7500 0.3756
6 Pb 0.7500 0.2500 0.6244
7 Pb 0.2500 0.7500 0.8756
8 Pb 0.7500 0.2500 0.1244
9 Hg 0.4989 0.7500 0.1262
10 Hg 0.0011 0.7500 0.6262
11 Hg 0.9989 0.2500 0.8737
12 Hg 0.0011 0.7500 0.1263
13 Hg 0.5011 0.2500 0.3737
14 Hg 0.4989 0.7500 0.6263
15 Hg 0.5011 0.2500 0.8738
16 Hg 0.9989 0.2500 0.3738

density = 10189 kg/m3
relative energy among the computed polymorphs = 17 meV/atom